DFT (PBE-GGA) results for a relaxed structure of AcDySi2Ni2.

Summary:
- SG: No. 164
- Uncorrected energy: -5.894 eV/atom
- Total magnetic moment: 0.000 μB per atom
- V: 20.0 Å³/atom
- Fermi-level density of states: 4.41 states/eV/f.u.

abc: 4.0501 4.0501 8.4682
angles: 90.00 90.00 120.00
Fractional positions:
Si 0.3333 0.6667 0.2720
Si 0.6667 0.3333 0.7280
Ac 0.0000 0.0000 0.0000
Ni 0.3333 0.6667 0.7254
Dy 0.0000 0.0000 0.5000
Ni 0.6667 0.3333 0.2746